! Pa2CuPt2 (PBE, optimized geometry); values from VASP
! Size of the total moment: 0.00 μB/atom
&SYSTEM
  ibrav = 0, nat = 10, ntyp = 3
/
ATOMIC_SPECIES
Pa 231.04 Pa.upf
Cu 63.55 Cu.upf
Pt 195.08 Pt.upf
CELL_PARAMETERS angstrom
6.5749 0.0000 0.0000
0.0000 8.7912 0.0000
0.0000 0.0000 3.5794
ATOMIC_POSITIONS crystal
Pa 0.1026 0.1625 0.0000
Pa 0.3974 0.6625 0.0000
Pa 0.6026 0.3375 0.0000
Pa 0.8974 0.8375 0.0000
Cu 0.0000 0.5000 0.0000
Cu 0.5000 0.0000 0.0000
Pt 0.2426 0.8961 0.5000
Pt 0.2574 0.3961 0.5000
Pt 0.7426 0.6039 0.5000
Pt 0.7574 0.1039 0.5000

! PaCu2Pt (PBE, optimized geometry); values from VASP
! Distance to the lowest polymorph of the same formula: 29 meV/atom
! Size of the total moment: 0.00 μB/atom
&SYSTEM
  ibrav = 0, nat = 8, ntyp = 3
/
ATOMIC_SPECIES
Pa 231.04 Pa.upf
Cu 63.55 Cu.upf
Pt 195.08 Pt.upf
CELL_PARAMETERS angstrom
2.1469 -4.6740 0.0000
2.1469 4.6740 0.0000
0.0000 0.0000 7.2429
ATOMIC_POSITIONS crystal
Pa 0.0567 0.9433 0.7500
Pa 0.9433 0.0567 0.2500
Cu 0.2561 0.7439 0.0824
Cu 0.2561 0.7439 0.4176
Cu 0.7439 0.2561 0.5824
Cu 0.7439 0.2561 0.9176
Pt 0.3690 0.6310 0.7500
Pt 0.6310 0.3690 0.2500

! Pa2Cu3Pt (PBE, optimized geometry); values from VASP
! Size of the total moment: 0.00 μB/atom
&SYSTEM
  ibrav = 0, nat = 12, ntyp = 3
/
ATOMIC_SPECIES
Pa 231.04 Pa.upf
Cu 63.55 Cu.upf
Pt 195.08 Pt.upf
CELL_PARAMETERS angstrom
0.0000 4.4238 7.7133
3.1636 0.0000 7.7133
3.1636 4.4238 0.0000
ATOMIC_POSITIONS crystal
Pa 0.2317 0.7683 0.7683
Pa 0.2500 0.2500 0.2500
Pa 0.7500 0.7500 0.7500
Pa 0.7683 0.2317 0.2317
Cu 0.1776 0.6609 0.3391
Cu 0.3391 0.8224 0.1776
Cu 0.3395 0.3395 0.6605
Cu 0.6605 0.6605 0.3395
Cu 0.6609 0.1776 0.8224
Cu 0.8224 0.3391 0.6609
Pt 0.1684 0.1684 0.8316
Pt 0.8316 0.8316 0.1684

! PaCuPt3 (PBE, optimized geometry); values from VASP
! Size of the total moment: 0.00 μB/atom
&SYSTEM
  ibrav = 0, nat = 10, ntyp = 3
/
ATOMIC_SPECIES
Pa 231.04 Pa.upf
Cu 63.55 Cu.upf
Pt 195.08 Pt.upf
CELL_PARAMETERS angstrom
5.0881 0.0000 0.0000
0.0000 5.4006 0.0000
-1.1867 0.0000 6.7478
ATOMIC_POSITIONS crystal
Pa 0.1184 0.2500 0.2918
Pa 0.8816 0.7500 0.7081
Cu 0.4246 0.7500 0.0128
Cu 0.5754 0.2500 0.9872
Pt 0.0392 0.2500 0.8832
Pt 0.3597 0.0040 0.6591
Pt 0.3597 0.4960 0.6591
Pt 0.6403 0.5040 0.3409
Pt 0.6403 0.9960 0.3409
Pt 0.9608 0.7500 0.1168

Number 1: raw total energy -7.55 eV per atom. Number 2: raw total energy -6.15 eV per atom. Number 3: raw total energy -6.57 eV per atom. Number 4: raw total energy -7.00 eV per atom.